This record from Alexandria via LeMat-Bulk describes a relaxed structure of PmPa2O7. The functional is GGA-PBE.

a b c (Å): 3.9082 3.9082 31.7728
angles (deg): 90.00 90.00 120.00
Space group R-3m (No. 166, hexagonal axes)
Symmetry-distinct sites (fractional):
1 Pm 0.0000 0.0000 0.0000 (multiplicity 3)
2 Pa 0.0000 0.0000 0.4319 (multiplicity 6)
3 O 0.0000 0.0000 0.0776 (multiplicity 6)
4 O 0.0000 0.0000 0.2185 (multiplicity 6)
5 O 0.0000 0.0000 0.3627 (multiplicity 6)
6 O 0.0000 0.0000 0.5000 (multiplicity 3)

- Energy: -91.92 eV/f.u.
- DOS at the Fermi energy: 0.5786 states/eV/atom
- Formation energy from raw total energies: -3.347 eV per atom